# 1
CeNi4SbAs2 | PBE | optimized geometry

abc: 4.1571 4.1571 7.6982
angles: 90.00 90.00 90.00
Space group P4/mmm (No. 123)
Symmetry-distinct sites (fractional):
Ce  0.0000  0.0000  0.0000
Ni  0.0000  0.5000  0.3085
Sb  0.0000  0.0000  0.5000
As  0.5000  0.5000  0.1678

Output
The value obtained for the density of states at the Fermi level is 8.27 states/eV/f.u. The calculation puts the energy relative to the elements, uncorrected at -0.498 eV/atom. For the total moment, the calculation gives 0.75 μB per cell.

# 2
Tm2Cu3Pd | PBE | optimized geometry

abc: 6.8067 8.5611 15.0072
angles: 90.00 90.00 90.00
Space group Fmmm (No. 69)
Symmetry-distinct sites (fractional):
Tm  0.2488  0.0000  0.0000
Tm  0.2500  0.2500  0.2500
Cu  0.0000  0.0000  0.3370
Cu  0.0000  0.2436  0.4191
Pd  0.0000  0.0000  0.1668

Output
The value obtained for the density of states at the Fermi level is 3.35 states/eV/f.u. For the total moment, the calculation gives 0.00 μB per cell. The calculation puts the formation energy at -0.432 eV/atom.

# 3
H3PbF | PBE | optimized geometry

abc: 3.8261 3.8261 3.8261
angles: 90.00 90.00 90.00
Space group Pm-3m (No. 221)
Symmetry-distinct sites (fractional):
H  0.0000  0.0000  0.5000
Pb  0.0000  0.0000  0.0000
F  0.5000  0.5000  0.5000

Output
The value obtained for the density of states at the Fermi level is 1.11 states/eV/f.u. For the total moment, the calculation gives 0.00 μB per cell. For the energy above the lowest structure with this stoichiometry, the calculation gives 0.0 meV/atom.

# 4
PuPaZnGa | PBE | optimized geometry

abc: 7.0731 7.0731 7.0731
angles: 90.00 90.00 90.00
Space group F-43m (No. 216)
Symmetry-distinct sites (fractional):
Pu  0.0000  0.0000  0.0000
Pa  0.0000  0.0000  0.5000
Zn  0.2500  0.2500  0.2500
Ga  0.2500  0.2500  0.7500

Output
The value obtained for the density of states at the Fermi level is 9.26 states/eV/f.u. For the total moment, the calculation gives 23.48 μB per cell. The calculation puts the formation energy at -0.061 eV/atom. For the energy above the lowest structure with this stoichiometry, the calculation gives 0.0 meV/atom.

# 5
Sm4Dy2Th | PBE | optimized geometry

abc: 6.7346 11.5657 12.1685
angles: 90.00 90.00 90.00
Space group Imma (No. 74)
Symmetry-distinct sites (fractional):
Sm  0.0000  0.0040  0.1514
Sm  0.2244  0.2500  0.9880
Dy  0.0000  0.0000  0.5000
Dy  0.0000  0.2500  0.7217
Th  0.2500  0.2500  0.2500

Output
The value obtained for the density of states at the Fermi level is 11.95 states/eV/f.u. For the total moment, the calculation gives 0.00 μB per cell. The calculation puts the formation energy at 0.302 eV/atom. For the energy above the lowest structure with this stoichiometry, the calculation gives 266.7 meV/atom.

# 6
CoSe2Br | PBE | optimized geometry

abc: 4.5379 15.2927 6.2383
angles: 90.00 106.74 90.00
Space group C2/c (No. 15)
Symmetry-distinct sites (fractional):
Co  0.0000  0.2036  0.2500
Se  0.1779  0.1766  0.6378
Br  0.0000  0.3945  0.7500

Output
The value obtained for the density of states at the Fermi level is 0.00 states/eV/f.u. The calculation puts the energy relative to the elements, uncorrected at -0.113 eV/atom. For the total moment, the calculation gives 0.00 μB per cell. For the energy above the lowest structure with this stoichiometry, the calculation gives 92.9 meV/atom.

Which value of total moment does entry 2 give? 0.00 μB per cell